Here is a relaxed Rh2W2C crystal from the Alexandria database. Energies are from GGA-PBE.

As for the formation energy: 0.35 eV/atom. The total magnetic moment comes out at 0.0 μB/cell.

The structure belongs to space group R-3m (No. 166, hexagonal axes); the cell edges are 2.8392, 2.8392 and 28.9781 Å and the angles 90.00°, 90.00° and 120.00°. The asymmetric unit holds Rh at (0.0000, 0.0000, 0.1220), W at (0.0000, 0.0000, 0.3760) and C at (0.0000, 0.0000, 0.5000).

=====

Here is a relaxed TbPrNd2 crystal from the Alexandria database. Energies are from GGA-PBE.

As for the formation energy: 0.01 eV/atom. The energy relative to the lowest polymorph listed for this composition is 0 meV/atom. The total magnetic moment comes out at 0.0 μB/cell.

The structure belongs to space group R-3m (No. 166, hexagonal axes); the cell edges are 3.6598, 3.6598 and 35.8519 Å and the angles 90.00°, 90.00° and 120.00°. The asymmetric unit holds Tb at (0.0000, 0.0000, 0.0000), Pr at (0.0000, 0.0000, 0.5000) and Nd at (0.0000, 0.0000, 0.2515).

=====

Here is a relaxed Li3Tl2Pd3 crystal from the Alexandria database. Energies are from GGA-PBE.

As for the formation energy: -0.31 eV/atom. The energy relative to the lowest polymorph listed for this composition is 66 meV/atom. The total magnetic moment comes out at 0.0 μB/cell.

The structure belongs to space group Immm (No. 71); the cell edges are 4.670, 4.830 and 12.126 Å and the angles 90.00°, 90.00° and 90.00°. The asymmetric unit holds Li at (0.000, 0.000, 0.000), Li at (0.000, 0.500, 0.118), Tl at (0.000, 0.000, 0.255), Pd at (0.000, 0.000, 0.500) and Pd at (0.000, 0.500, 0.382).

=====

Here is a relaxed SrVH crystal from the Alexandria database. Energies are from GGA-PBE.

The energy relative to the lowest polymorph listed for this composition is 103 meV/atom. The total magnetic moment comes out at 0.0 μB/cell.

The structure belongs to space group P2/m (No. 10); the cell edges are 5.841, 3.504 and 5.844 Å and the angles 90.00°, 105.99° and 90.00°. The asymmetric unit holds Sr at (0.193, 0.000, 0.307), V at (0.367, 0.500, 0.866) and H at (0.271, 0.000, 0.769).

=====

Here is a relaxed V4Fe2Re crystal from the Alexandria database. Energies are from GGA-PBE.

As for the formation energy: 1.11 eV/atom. The total magnetic moment comes out at 3.6 μB/cell.

The structure belongs to space group I4/mmm (No. 139); the cell edges are 4.558, 4.558 and 11.837 Å and the angles 90.00°, 90.00° and 90.00°. The asymmetric unit holds V at (0.000, 0.000, 0.207), V at (0.000, 0.500, 0.000), Fe at (0.000, 0.000, 0.395) and Re at (0.000, 0.000, 0.000).

=====

Here is a relaxed Cd3IrS crystal from the Alexandria database. Energies are from GGA-PBE.

The energy relative to the lowest polymorph listed for this composition is 0 meV/atom. The total magnetic moment comes out at 0.0 μB/cell. For the uncorrected formation energy, the calculation gives 0.59 eV/atom.

The structure belongs to space group Pm-3m (No. 221); the cell edges are 5.153, 5.153 and 5.153 Å and the angles 90.00°, 90.00° and 90.00°. The asymmetric unit holds Cd at (0.000, 0.000, 0.500), Ir at (0.000, 0.000, 0.000) and S at (0.500, 0.500, 0.500).

=====

Here is a relaxed Th2BeGeC crystal from the Alexandria database. Energies are from GGA-PBE.

As for the formation energy: -0.56 eV/atom. The total magnetic moment comes out at 0.0 μB/cell.

The structure belongs to space group P2_1/m (No. 11); the cell edges are 6.431, 3.876 and 8.438 Å and the angles 90.00°, 108.60° and 90.00°. The asymmetric unit holds Th at (0.210, 0.250, 0.389), Th at (0.224, 0.250, 0.966), Be at (0.457, 0.750, 0.249), Ge at (0.330, 0.750, 0.701) and C at (0.173, 0.750, 0.174).

=====

Which formula does entry 4 have?
SrVH

=====

Which formula does entry 4 have?
SrVH